# Zr4Ti GGA-PBE optimized geometry
# - Formation enthalpy at 0 K: 0.08 eV/atom
# - E_tot: -41.70 eV per formula unit
# - Mass density: 6.2 g cm⁻³
# - Distance to the lowest polymorph of the same formula: 18 meV/atom
data_Zr4Ti
_chemical_formula_sum 'Zr4 Ti1'
_symmetry_space_group_name_H-M 'P 1'
_symmetry_Int_Tables_number 1
_cell_length_a 7.7800
_cell_length_b 7.7800
_cell_length_c 3.1081
_cell_angle_alpha 90.00
_cell_angle_beta 90.00
_cell_angle_gamma 144.14
loop_
_symmetry_equiv_pos_as_xyz
'x,y,z'
loop_
_atom_site_label
_atom_site_type_symbol
_atom_site_fract_x
_atom_site_fract_y
_atom_site_fract_z
Zr1 Zr 0.0993 0.9007 0.0000
Zr2 Zr 0.3032 0.6968 0.5000
Zr3 Zr 0.6968 0.3032 0.5000
Zr4 Zr 0.9007 0.0993 0.0000
Ti1 Ti 0.5000 0.5000 0.5000